Density functional theory data (GGA-PBE) for a relaxed Sm2Dy6YTm crystal.

```
Sm2Dy6YTm
1.0
1.584 5.774 -7.514
-5.538 -5.233 -4.366
-3.370 6.376 5.012
Sm Dy Y Tm
4 12 2 2
Cartesian
-6.077 2.877 -3.450
-2.271 -0.086 -0.662
-1.248 4.040 -3.418
-5.054 7.003 -6.206
-3.137 4.432 2.772
-3.633 6.810 -0.057
-4.188 2.484 -9.640
-3.692 0.107 -6.812
-6.375 -0.600 -4.490
-2.941 -1.792 -3.808
-0.950 7.516 -2.378
-4.384 8.708 -3.060
-5.424 0.153 -1.498
-3.151 1.423 -3.595
-1.901 6.763 -5.371
-4.174 5.493 -3.273
-5.099 -3.557 -6.057
-2.226 10.474 -0.812
-3.860 3.079 -0.696
-3.465 3.838 -6.172
```

Results
DFT formation energy: 0.1141 eV/atom
electronic total energy: -93.7 eV/cell
crystal system: monoclinic
density of states at the Fermi level: 1.316 states/eV per atom

***

Density functional theory data (GGA-PBE) for a relaxed DyGePd6 crystal.

```
DyGePd6
1.0
4.083 0.000 0.000
0.000 4.083 0.000
0.000 0.000 7.852
Dy Ge Pd
1 1 6
Cartesian
0.000 0.000 0.000
0.000 0.000 3.926
2.042 2.042 0.000
2.042 2.042 3.926
2.042 0.000 2.098
2.042 0.000 5.755
0.000 2.042 2.098
0.000 2.042 5.755
```

Results
DFT formation energy: -0.6231 eV/atom
electronic total energy: -45.4 eV/cell
ΔE to the lowest computed polymorph: 0.000 eV/atom
crystal system: tetragonal
density of states at the Fermi level: 0.238 states/eV per atom